## ZrSc2AlC (PBE-GGA)

Data for ZrSc2AlC after structural relaxation.

- energy of formation (meV/atom) = -583

Cell: 4.4812 4.4812 4.5683 Å, 90.00 90.00 90.00°
Last column: nearest neighbours and their distance in Å.
Sites, in units of the cell vectors:
1 Sc 0.0000 0.5000 0.0000  2 C 2.24
2 Sc 0.5000 0.0000 0.0000  2 C 2.24
3 C 0.0000 0.0000 0.0000  4 Sc 2.24, 2 Zr 2.28
4 Al 0.5000 0.5000 0.5000  4 Zr 3.17, 8 Sc 3.20
5 Zr 0.0000 0.0000 0.5000  2 C 2.28

---

## AlC2Se (PBE-GGA)

Data for AlC2Se after structural relaxation.

- formation energy from raw total energies (eV/atom) = 2.13
- ΔE to the lowest computed polymorph (eV/atom) = 1.104

Cell: 4.0013 4.0013 4.0013 Å, 60.00 60.00 60.00°
Last column: nearest neighbours and their distance in Å.
Sites, in units of the cell vectors:
1 C 0.2500 0.2500 0.2500  4 Se 2.45, 4 Al 2.45
2 C 0.7500 0.7500 0.7500  4 Se 2.45, 4 Al 2.45
3 Al 0.0000 0.0000 0.0000  8 C 2.45
4 Se 0.5000 0.5000 0.5000  8 C 2.45

---

## AlCSe3 (PBE-GGA)

Data for AlCSe3 after structural relaxation.

- formation energy from raw total energies (eV/atom) = 0.92
- ΔE to the lowest computed polymorph (eV/atom) = 0.000

Cell: 4.4267 4.4267 4.4267 Å, 90.00 90.00 90.00°
Last column: nearest neighbours and their distance in Å.
Sites, in units of the cell vectors:
1 C 0.0000 0.0000 0.0000  6 Se 2.21
2 Al 0.5000 0.5000 0.5000  12 Se 3.13
3 Se 0.0000 0.5000 0.0000  2 C 2.21
4 Se 0.0000 0.0000 0.5000  2 C 2.21
5 Se 0.5000 0.0000 0.0000  2 C 2.21